# GGA-PBE VNi23Pt6, relaxed
data_VNi23Pt6
_chemical_formula_sum 'V4 Ni92 Pt24'
_symmetry_space_group_name_H-M 'F m -3 m'
_symmetry_Int_Tables_number 225
_symmetry_space_group_name_Hall '-F 4 2 3'
_cell_length_a 11.341
_cell_length_b 11.341
_cell_length_c 11.341
_cell_angle_alpha 90.00
_cell_angle_beta 90.00
_cell_angle_gamma 90.00
loop_
_atom_site_label
_atom_site_fract_x
_atom_site_fract_y
_atom_site_fract_z
V1 0.000 0.000 0.000
Ni1 0.000 0.000 0.500
Ni2 0.000 0.250 0.250
Ni3 0.122 0.122 0.378
Ni4 0.164 0.164 0.164
Pt1 0.000 0.000 0.225
# E in eV per atom: -5.92
# Fermi-level density of states in states/eV/f.u.: 44.129
# Formation enthalpy at 0 K in eV/atom: 0.0219

# GGA-PBE MgIrW2, relaxed
data_MgIrW2
_chemical_formula_sum 'Mg1 Ir1 W2'
_symmetry_space_group_name_H-M 'P 4 m m'
_symmetry_Int_Tables_number 99
_symmetry_space_group_name_Hall 'P 4 -2'
_cell_length_a 2.812
_cell_length_b 2.812
_cell_length_c 8.186
_cell_angle_alpha 90.00
_cell_angle_beta 90.00
_cell_angle_gamma 90.00
loop_
_atom_site_label
_atom_site_fract_x
_atom_site_fract_y
_atom_site_fract_z
Mg1 0.000 0.000 0.000
Ir1 0.500 0.500 0.761
W1 0.000 0.000 0.544
W2 0.500 0.500 0.278
# E in eV per atom: -9.05
# Fermi-level density of states in states/eV/f.u.: 2.526
# Formation enthalpy at 0 K in eV/atom: 0.0379

# GGA-PBE ScCd2Ag2, relaxed
data_ScCd2Ag2
_chemical_formula_sum 'Sc2 Cd4 Ag4'
_symmetry_space_group_name_H-M 'C m m m'
_symmetry_Int_Tables_number 65
_symmetry_space_group_name_Hall '-C 2 2'
_cell_length_a 3.457
_cell_length_b 17.871
_cell_length_c 3.427
_cell_angle_alpha 90.00
_cell_angle_beta 90.00
_cell_angle_gamma 90.00
loop_
_atom_site_label
_atom_site_fract_x
_atom_site_fract_y
_atom_site_fract_z
Sc1 0.000 0.000 0.000
Cd1 0.000 0.183 0.000
Ag1 0.000 0.409 0.500
# E in eV per atom: -2.91
# Fermi-level density of states in states/eV/f.u.: 2.203
# Formation enthalpy at 0 K in eV/atom: -0.1375

# GGA-PBE CdPbAuO4, relaxed
data_CdPbAuO4
_chemical_formula_sum 'Cd4 Pb4 Au4 O16'
_symmetry_space_group_name_H-M 'I m m a'
_symmetry_Int_Tables_number 74
_symmetry_space_group_name_Hall '-I 2b 2'
_cell_length_a 6.507
_cell_length_b 6.617
_cell_length_c 10.456
_cell_angle_alpha 90.00
_cell_angle_beta 90.00
_cell_angle_gamma 90.00
loop_
_atom_site_label
_atom_site_fract_x
_atom_site_fract_y
_atom_site_fract_z
Cd1 0.000 0.250 0.155
Pb1 0.000 0.000 0.500
Au1 0.250 0.250 0.750
O1 0.000 0.044 0.723
O2 0.224 0.250 0.470
# E in eV per atom: -4.55
# Formation energy without anion corrections in eV/atom: -0.592
# Fermi-level density of states in states/eV/f.u.: 2.875

# GGA-PBE CsTbCuSe3, relaxed
data_CsTbCuSe3
_chemical_formula_sum 'Cs2 Tb2 Cu2 Se6'
_symmetry_space_group_name_H-M 'P 1 21/m 1'
_symmetry_Int_Tables_number 11
_symmetry_space_group_name_Hall '-P 2yb'
_cell_length_a 9.747
_cell_length_b 4.145
_cell_length_c 10.140
_cell_angle_alpha 90.00
_cell_angle_beta 112.13
_cell_angle_gamma 90.00
loop_
_atom_site_label
_atom_site_fract_x
_atom_site_fract_y
_atom_site_fract_z
Cs1 0.214 0.250 0.249
Tb1 0.326 0.750 0.860
Cu1 0.084 0.250 0.611
Se1 0.122 0.250 0.862
Se2 0.179 0.750 0.547
Se3 0.478 0.750 0.163
# E in eV per atom: -4.53
# Formation energy without anion corrections in eV/atom: -1.194
# Fermi-level density of states in states/eV/f.u.: 4.335

# GGA-PBE Nb2InGaAu, relaxed
data_Nb2InGaAu
_chemical_formula_sum 'Nb2 In1 Ga1 Au1'
_symmetry_space_group_name_H-M 'P 4/m m m'
_symmetry_Int_Tables_number 123
_symmetry_space_group_name_Hall '-P 4 2'
_cell_length_a 5.100
_cell_length_b 5.100
_cell_length_c 5.010
_cell_angle_alpha 90.00
_cell_angle_beta 90.00
_cell_angle_gamma 90.00
loop_
_atom_site_label
_atom_site_fract_x
_atom_site_fract_y
_atom_site_fract_z
Nb1 0.000 0.500 0.000
In1 0.000 0.000 0.500
Ga1 0.500 0.500 0.500
Au1 0.000 0.000 0.000
# E in eV per atom: -4.59
# Fermi-level density of states in states/eV/f.u.: 5.273
# Formation enthalpy at 0 K in eV/atom: 1.2422

# GGA-PBE MgFeOs, relaxed
data_MgFeOs
_chemical_formula_sum 'Mg2 Fe2 Os2'
_symmetry_space_group_name_H-M 'P 4 m m'
_symmetry_Int_Tables_number 99
_symmetry_space_group_name_Hall 'P 4 -2'
_cell_length_a 2.737
_cell_length_b 2.737
_cell_length_c 11.705
_cell_angle_alpha 90.00
_cell_angle_beta 90.00
_cell_angle_gamma 90.00
loop_
_atom_site_label
_atom_site_fract_x
_atom_site_fract_y
_atom_site_fract_z
Mg1 0.000 0.000 0.000
Mg2 0.500 0.500 0.231
Fe1 0.500 0.500 0.542
Fe2 0.500 0.500 0.838
Os1 0.000 0.000 0.407
Os2 0.000 0.000 0.708
# E in eV per atom: -6.93
# Fermi-level density of states in states/eV/f.u.: 1.984
# Formation enthalpy at 0 K in eV/atom: 0.1696

# GGA-PBE YRu, relaxed
data_YRu
_chemical_formula_sum 'Y6 Ru6'
_symmetry_space_group_name_H-M 'I m m 2'
_symmetry_Int_Tables_number 44
_symmetry_space_group_name_Hall 'I 2 -2'
_cell_length_a 4.225
_cell_length_b 11.915
_cell_length_c 5.427
_cell_angle_alpha 90.00
_cell_angle_beta 90.00
_cell_angle_gamma 90.00
loop_
_atom_site_label
_atom_site_fract_x
_atom_site_fract_y
_atom_site_fract_z
Y1 0.000 0.000 0.000
Y2 0.000 0.269 0.654
Ru1 0.000 0.000 0.518
Ru2 0.000 0.389 0.135
# E in eV per atom: -7.92
# Fermi-level density of states in states/eV/f.u.: 1.693
# Formation enthalpy at 0 K in eV/atom: -0.0536

# GGA-PBE PmZnSn3, relaxed
data_PmZnSn3
_chemical_formula_sum 'Pm4 Zn4 Sn12'
_symmetry_space_group_name_H-M 'P b c m'
_symmetry_Int_Tables_number 57
_symmetry_space_group_name_Hall '-P 2c 2b'
_cell_length_a 12.741
_cell_length_b 6.299
_cell_length_c 6.272
_cell_angle_alpha 90.00
_cell_angle_beta 90.00
_cell_angle_gamma 90.00
loop_
_atom_site_label
_atom_site_fract_x
_atom_site_fract_y
_atom_site_fract_z
Pm1 0.196 0.008 0.250
Zn1 0.382 0.250 0.000
Sn1 0.000 0.250 0.000
Sn2 0.251 0.516 0.250
Sn3 0.439 0.651 0.750
# E in eV per atom: -3.97
# Fermi-level density of states in states/eV/f.u.: 1.548
# Formation enthalpy at 0 K in eV/atom: -0.3594

# GGA-PBE Zr6Tc5Pd, relaxed
data_Zr6Tc5Pd
_chemical_formula_sum 'Zr12 Tc10 Pd2'
_symmetry_space_group_name_H-M 'I m m m'
_symmetry_Int_Tables_number 71
_symmetry_space_group_name_Hall '-I 2 2'
_cell_length_a 4.672
_cell_length_b 6.598
_cell_length_c 14.002
_cell_angle_alpha 90.00
_cell_angle_beta 90.00
_cell_angle_gamma 90.00
loop_
_atom_site_label
_atom_site_fract_x
_atom_site_fract_y
_atom_site_fract_z
Zr1 0.000 0.243 0.000
Zr2 0.000 0.254 0.331
Tc1 0.000 0.000 0.166
Tc2 0.000 0.500 0.165
Tc3 0.000 0.500 0.500
Pd1 0.000 0.000 0.500
# E in eV per atom: -9.47
# Fermi-level density of states in states/eV/f.u.: 8.976
# Formation enthalpy at 0 K in eV/atom: -0.4450

# GGA-PBE PrTm3Rh, relaxed
data_PrTm3Rh
_chemical_formula_sum 'Pr1 Tm3 Rh1'
_symmetry_space_group_name_H-M 'P m -3 m'
_symmetry_Int_Tables_number 221
_symmetry_space_group_name_Hall '-P 4 2 3'
_cell_length_a 5.362
_cell_length_b 5.362
_cell_length_c 5.362
_cell_angle_alpha 90.00
_cell_angle_beta 90.00
_cell_angle_gamma 90.00
loop_
_atom_site_label
_atom_site_fract_x
_atom_site_fract_y
_atom_site_fract_z
Pr1 0.000 0.000 0.000
Tm1 0.000 0.500 0.500
Rh1 0.500 0.500 0.500
# E in eV per atom: -5.41
# Fermi-level density of states in states/eV/f.u.: 7.165
# Formation enthalpy at 0 K in eV/atom: -0.3036

# GGA-PBE LiB4C4, relaxed
data_LiB4C4
_chemical_formula_sum 'Li2 B8 C8'
_symmetry_space_group_name_H-M 'P 1 2/m 1'
_symmetry_Int_Tables_number 10
_symmetry_space_group_name_Hall '-P 2y'
_cell_length_a 7.892
_cell_length_b 2.712
_cell_length_c 8.414
_cell_angle_alpha 90.00
_cell_angle_beta 112.49
_cell_angle_gamma 90.00
loop_
_atom_site_label
_atom_site_fract_x
_atom_site_fract_y
_atom_site_fract_z
Li1 0.000 0.000 0.000
Li2 0.000 0.500 0.500
B1 0.009 0.000 0.734
B2 0.254 0.500 0.002
B3 0.294 0.500 0.455
B4 0.424 0.000 0.298
C1 0.099 0.500 0.819
C2 0.189 0.000 0.407
C3 0.317 0.000 0.101
C4 0.487 0.500 0.401
# E in eV per atom: -7.13
# Fermi-level density of states in states/eV/f.u.: 1.894
# Formation enthalpy at 0 K in eV/atom: 0.1505